VASP calculation (PBE) on a relaxed ZrTiHgRh crystal.

Results
Size of the total moment (μB per atom): 0.00
E (eV per cell): -25.8
D(E_F) (states/eV/f.u.): 4.3
Formation energy (eV/atom): -0.414

The structure in CIF format:
```
data_ZrTiHgRh
_cell_length_a 3.196
_cell_length_b 3.196
_cell_length_c 7.201
_cell_angle_alpha 90.00
_cell_angle_beta 90.00
_cell_angle_gamma 90.00
_space_group_name_H-M_alt 'P 1'
_space_group_IT_number 1
loop_
_space_group_symop_operation_xyz
'x,y,z'
loop_
_atom_site_label
_atom_site_fract_x
_atom_site_fract_y
_atom_site_fract_z
Zr1 0.000 0.000 0.095
Ti1 0.000 0.000 0.537
Hg1 0.500 0.500 0.797
Rh1 0.500 0.500 0.356
```

VASP calculation (PBE) on a relaxed TlHg2Rh crystal.

Results
Size of the total moment (μB per atom): 0.00
E (eV per cell): -9.5
D(E_F) (states/eV/f.u.): 1.2
Formation energy (eV/atom): 0.203

The structure in CIF format:
```
data_TlHg2Rh
_cell_length_a 5.651
_cell_length_b 5.651
_cell_length_c 5.651
_cell_angle_alpha 137.10
_cell_angle_beta 137.10
_cell_angle_gamma 62.29
_space_group_name_H-M_alt 'P 1'
_space_group_IT_number 1
loop_
_space_group_symop_operation_xyz
'x,y,z'
loop_
_atom_site_label
_atom_site_fract_x
_atom_site_fract_y
_atom_site_fract_z
Hg1 0.750 0.250 0.500
Hg2 0.250 0.750 0.500
Rh1 0.500 0.500 0.000
Tl1 0.000 0.000 0.000
```

VASP calculation (PBE) on a relaxed TlHg2Rh crystal.

Results
Size of the total moment (μB per atom): 0.00
E (eV per cell): -9.3
D(E_F) (states/eV/f.u.): 2.5
Formation energy (eV/atom): 0.245

The structure in CIF format:
```
data_TlHg2Rh
_cell_length_a 5.515
_cell_length_b 5.515
_cell_length_c 5.515
_cell_angle_alpha 134.86
_cell_angle_beta 134.86
_cell_angle_gamma 65.75
_space_group_name_H-M_alt 'P 1'
_space_group_IT_number 1
loop_
_space_group_symop_operation_xyz
'x,y,z'
loop_
_atom_site_label
_atom_site_fract_x
_atom_site_fract_y
_atom_site_fract_z
Hg1 0.000 0.000 0.000
Rh1 0.500 0.500 0.000
Hg2 0.250 0.750 0.500
Tl1 0.750 0.250 0.500
```

VASP calculation (PBE) on a relaxed Tl2HgRh2 crystal.

Results
Size of the total moment (μB per atom): 0.17
E (eV per cell): -18.4
Energy relative to the lowest polymorph listed for this composition (meV per atom): 207
D(E_F) (states/eV/f.u.): 5.4
Formation energy (eV/atom): 0.277

The structure in CIF format:
```
data_Tl2HgRh2
_cell_length_a 3.662
_cell_length_b 3.662
_cell_length_c 9.301
_cell_angle_alpha 78.65
_cell_angle_beta 78.65
_cell_angle_gamma 90.00
_space_group_name_H-M_alt 'P 1'
_space_group_IT_number 1
loop_
_space_group_symop_operation_xyz
'x,y,z'
loop_
_atom_site_label
_atom_site_fract_x
_atom_site_fract_y
_atom_site_fract_z
Tl1 0.622 0.622 0.757
Hg1 0.000 0.000 0.000
Rh1 0.750 0.250 0.500
Tl2 0.378 0.378 0.243
Rh2 0.250 0.750 0.500
```

What is the size of the total moment in the third record? 0.00 μB per atom